The following is a DFT calculation (PBE) of a relaxed structure of Tb2PrSm4Er.

Calculated values
E_form: 0.02 eV/atom
Space-group type: P2/m (10)
M_tot: 0.000 μB per cell

```
Tb2PrSm4Er
1.0
-0.251 3.537 -0.701
-4.295 0.584 4.480
7.041 2.358 9.376
Er Sm Tb Pr
1 4 2 1
direct
0.000 0.500 0.500 Er
0.000 0.751 0.747 Sm
0.500 0.250 0.747 Sm
0.000 0.249 0.253 Sm
0.500 0.750 0.253 Sm
0.500 0.000 0.500 Tb
0.000 0.000 0.000 Tb
0.500 0.500 0.000 Pr
```

---

The following is a DFT calculation (PBE) of a relaxed structure of BaCdGa2Pd.

Calculated values
E_form: -0.38 eV/atom
Space-group type: P4/mmm (123)
M_tot: 0.000 μB per cell

```
BaCdGa2Pd
1.0
4.941 0.000 0.000
0.000 4.941 0.000
0.000 0.000 5.263
Pd Ba Cd Ga
1 1 1 2
direct
0.000 0.000 0.000 Pd
0.500 0.500 0.500 Ba
0.000 0.000 0.500 Cd
0.000 0.500 0.000 Ga
0.500 0.000 0.000 Ga
```

---

The following is a DFT calculation (PBE) of a relaxed structure of Nd2NpSb3.

Calculated values
Space-group type: C2/m (12)
Energy relative to the elements, uncorrected: -5.10 eV/f.u.
M_tot: 7.767 μB per cell

```
Nd2NpSb3
1.0
7.656 -0.029 -1.280
-4.130 6.447 -1.280
-0.012 -0.022 7.772
Nd Sb Np
4 6 2
direct
0.498 0.502 0.500 Nd
0.169 0.831 0.500 Nd
0.333 0.667 0.000 Nd
0.833 0.167 0.500 Nd
0.592 0.925 0.757 Sb
0.252 0.246 0.756 Sb
0.754 0.748 0.244 Sb
0.075 0.408 0.243 Sb
0.415 0.087 0.244 Sb
0.913 0.585 0.756 Sb
0.666 0.334 0.000 Np
0.001 0.999 0.000 Np
```

---

The following is a DFT calculation (PBE) of a relaxed structure of Rb2LiBr6N.

Calculated values
Space-group type: Fm-3m (225)
Energy relative to the elements, uncorrected: -5.02 eV/f.u.
M_tot: 0.000 μB per cell

```
Rb2LiBr6N
1.0
7.358 0.000 0.000
0.000 7.358 0.000
3.679 3.679 5.201
Br N Li Rb
6 1 1 2
direct
0.233 0.767 0.000 Br
0.233 0.233 0.000 Br
0.767 0.233 0.000 Br
0.233 0.233 0.533 Br
0.767 0.767 0.467 Br
0.767 0.767 0.000 Br
0.000 0.000 0.000 N
0.500 0.500 0.000 Li
0.750 0.250 0.500 Rb
0.250 0.750 0.500 Rb
```

---

The following is a DFT calculation (PBE) of a relaxed structure of Rb2VIrBr6.

Calculated values
Space-group type: I4/mmm (139)
Energy relative to the elements, uncorrected: -7.78 eV/f.u.
M_tot: 4.002 μB per cell

```
Rb2VIrBr6
1.0
7.475 0.000 0.000
0.000 7.475 0.000
3.737 3.737 5.270
Br Ir Rb V
6 1 2 1
direct
0.752 0.248 0.000 Br
0.752 0.752 0.000 Br
0.248 0.752 0.000 Br
0.248 0.248 0.000 Br
0.247 0.247 0.506 Br
0.753 0.753 0.494 Br
0.000 0.000 0.000 Ir
0.750 0.250 0.500 Rb
0.250 0.750 0.500 Rb
0.500 0.500 0.000 V
```

---

The following is a DFT calculation (PBE) of a relaxed structure of Pr2Tm6Zr.

Calculated values
E_form: 0.12 eV/atom
Space-group type: C2/m (12)
M_tot: 0.000 μB per cell

```
Pr2Tm6Zr
1.0
3.364 0.468 0.232
-0.880 8.497 -4.379
2.794 -0.082 9.802
Pr Tm Zr
2 6 1
direct
0.667 0.667 0.333 Pr
0.333 0.333 0.667 Pr
0.500 0.324 0.000 Tm
0.824 0.000 0.676 Tm
0.824 0.676 0.676 Tm
0.500 0.676 0.000 Tm
0.176 0.324 0.324 Tm
0.176 0.000 0.324 Tm
0.000 0.000 0.000 Zr
```

---

The following is a DFT calculation (PBE) of a relaxed structure of Nb3Mo.

Calculated values
E_form: -0.07 eV/atom
Space-group type: P4/mmm (123)
M_tot: 0.000 μB per cell

```
Nb3Mo
1.0
3.282 0.000 0.000
0.000 4.623 0.000
0.000 0.000 4.620
Nb Mo
3 1
direct
0.000 0.500 0.417 Nb
0.500 0.500 0.917 Nb
0.500 0.000 0.417 Nb
0.000 0.000 0.917 Mo
```

---

The following is a DFT calculation (PBE) of a relaxed structure of AgB2Pd8.

Calculated values
E_form: -0.09 eV/atom
Energy above the most stable polymorph in this dataset: 0.000 eV/atom
Space-group type: C2/m (12)
M_tot: 0.000 μB per cell

```
AgB2Pd8
1.0
-2.564 1.107 -0.492
-2.867 -4.851 3.985
-1.441 3.698 7.658
B Pd Ag
2 8 1
direct
0.332 0.311 0.304 B
0.667 0.689 0.635 B
0.731 0.312 0.504 Pd
0.268 0.689 0.435 Pd
0.457 0.301 0.054 Pd
0.542 0.699 0.886 Pd
0.109 0.431 0.749 Pd
0.890 0.569 0.190 Pd
0.829 0.054 0.312 Pd
0.170 0.946 0.627 Pd
0.000 0.000 0.970 Ag
```

---

The following is a DFT calculation (PBE) of a relaxed structure of Sm8Bi2Pt.

Calculated values
E_form: -0.49 eV/atom
Space-group type: C2/m (12)
M_tot: 0.000 μB per cell

```
Sm8Bi2Pt
1.0
-1.184 2.097 -4.141
5.017 -4.290 -3.607
-7.033 -6.988 1.243
Sm Bi Pt
8 2 1
direct
0.214 0.352 0.429 Sm
0.997 0.225 0.994 Sm
0.595 0.511 0.189 Sm
0.355 0.959 0.710 Sm
0.786 0.648 0.571 Sm
0.645 0.041 0.290 Sm
0.003 0.775 0.006 Sm
0.405 0.489 0.811 Sm
0.817 0.222 0.635 Bi
0.183 0.778 0.365 Bi
0.500 0.000 0.000 Pt
```

---

The following is a DFT calculation (PBE) of a relaxed structure of NdSc3Tc.

Calculated values
E_form: 0.01 eV/atom
Space-group type: Pm-3m (221)
M_tot: 0.000 μB per cell

```
NdSc3Tc
1.0
-1.266 -3.494 3.483
-1.089 -3.309 -3.716
4.812 -1.668 0.075
Sc Tc Nd
3 1 1
direct
0.000 0.000 0.500 Sc
0.500 0.000 0.000 Sc
0.000 0.500 0.000 Sc
0.000 0.000 0.000 Tc
0.500 0.500 0.500 Nd
```

---

The following is a DFT calculation (PBE) of a relaxed structure of Y4GeAsSe2.

Calculated values
Space-group type: P2/m (10)
Energy relative to the elements, uncorrected: -12.72 eV/f.u.
M_tot: 0.000 μB per cell

```
Y4GeAsSe2
1.0
4.126 0.000 0.000
0.000 7.157 -0.150
0.000 2.512 6.689
Y As Ge Se
4 1 1 2
direct
0.000 0.737 0.752 Y
0.000 0.263 0.248 Y
0.500 0.737 0.257 Y
0.500 0.263 0.743 Y
0.500 0.500 0.000 As
0.000 0.500 0.500 Ge
0.500 0.000 0.500 Se
0.000 0.000 0.000 Se
```

---

The following is a DFT calculation (PBE) of a relaxed structure of BaRh2Pb4.

Calculated values
E_form: -0.26 eV/atom
Space-group type: Pnma (62)
M_tot: 0.000 μB per cell

```
BaRh2Pb4
1.0
4.796 0.000 0.000
0.000 7.505 0.000
0.000 0.000 19.848
Rh Pb Ba
8 16 4
direct
0.250 0.744 0.534 Rh
0.250 0.756 0.034 Rh
0.250 0.981 0.787 Rh
0.750 0.481 0.713 Rh
0.250 0.519 0.287 Rh
0.750 0.019 0.213 Rh
0.750 0.244 0.966 Rh
0.750 0.256 0.466 Rh
0.250 0.223 0.197 Pb
0.750 0.646 0.969 Pb
0.250 0.146 0.531 Pb
0.250 0.277 0.697 Pb
0.750 0.723 0.303 Pb
0.250 0.354 0.031 Pb
0.250 0.694 0.682 Pb
0.750 0.993 0.072 Pb
0.250 0.806 0.182 Pb
0.250 0.493 0.428 Pb
0.750 0.194 0.818 Pb
0.750 0.777 0.803 Pb
0.750 0.306 0.318 Pb
0.750 0.854 0.469 Pb
0.750 0.507 0.572 Pb
0.250 0.007 0.928 Pb
0.750 0.505 0.140 Ba
0.250 0.495 0.860 Ba
0.750 0.995 0.640 Ba
0.250 0.005 0.360 Ba
```